This record from Alexandria via LeMat-Bulk describes a relaxed AlCr3F crystal. The functional is PBE+U.

POSCAR file:
```
AlCr3F
1.0
-0.1152 2.1568 -4.5319
3.1649 -3.4870 -1.7400
-3.8953 -2.8969 -1.2797
Cr Al F
3 1 1
Direct
0.0000 0.5000 0.0000
0.0000 0.0000 0.5000
0.5000 0.0000 0.0000
0.0000 0.0000 0.0000
0.5000 0.5000 0.5000
```

Values from the calculation:
* crystal system: cubic
* density: 2.65 g cm⁻³
* energy: -4.950 eV per atom
* SG: Pm-3m (221)